KMoO3: relaxed, PBE with a Hubbard U.

a = 6.2519 Å, b = 6.2519 Å, c = 6.9105 Å
α = 103.30°, β = 103.30°, γ = 39.79°
Element x y z (fractional)
K1 0.1172 0.1172 0.3767
K2 0.8828 0.8828 0.6233
Mo1 0.3476 0.3476 0.1031
Mo2 0.6524 0.6524 0.8969
O1 0.1803 0.1803 0.9428
O2 0.3489 0.3489 0.3717
O3 0.4683 0.4683 0.8898
O4 0.5317 0.5317 0.1102
O5 0.6511 0.6511 0.6283
O6 0.8197 0.8197 0.0572

Calculated total energy, eV per cell: -60.3
Symmetry: C2/m, No. 12